(1)
## FePb2Br (GGA-PBE)

Data for a relaxed FePb2Br crystal.

```
FePb2Br
1.0
5.291 0.000 0.000
2.646 4.582 0.000
2.646 1.527 4.320
Br Fe Pb
1 1 2
direct
0.500 0.500 0.500 Br
0.750 0.750 0.750 Fe
0.000 0.000 0.000 Pb
0.250 0.250 0.250 Pb
```

raw formation energy	557	meV/atom
magnetic moment	3.3	μB per cell
density of states at the Fermi level	1.885	states/eV/atom



(2)
## Tb4InBi3 (GGA-PBE)

Data for a relaxed Tb4InBi3 crystal.

```
Tb4InBi3
1.0
-1.551 -2.881 5.420
1.094 -5.630 -2.680
6.039 0.281 1.877
Tb Bi In
4 3 1
direct
0.500 0.000 0.000 Tb
0.000 0.500 0.000 Tb
0.000 0.000 0.500 Tb
0.500 0.500 0.500 Tb
0.000 0.500 0.500 Bi
0.500 0.000 0.500 Bi
0.500 0.500 0.000 Bi
0.000 0.000 0.000 In
```

magnetic moment	0.0	μB per cell
density of states at the Fermi level	0.449	states/eV/atom
calculated formation energy	-665.1	meV/atom



| no. | E (eV/f.u.) |
| --- | --- |
| 1 | -15.33 |
| 2 | -38.22 |